Entry from Alexandria via LeMat-Bulk: crystalline CoSb2IO at its relaxed geometry (PBE+U). Values from VASP.

Properties
Electronic total energy ... -3.138 eV per atom
Theoretical density ... 6.009 g/cm³
V ... 123.1 Å³/cell
Space-group type ... P4/mmm, No. 123

```
&SYSTEM
  ibrav = 0, nat = 5, ntyp = 4
/
ATOMIC_SPECIES
Co 58.93 Co.upf
Sb 121.76 Sb.upf
I 126.90 I.upf
O 16.00 O.upf
CELL_PARAMETERS angstrom
4.922 0.000 0.000
0.000 4.922 0.000
0.000 0.000 5.081
ATOMIC_POSITIONS angstrom
Co 0.000 0.000 0.000
Sb 0.000 2.461 0.000
Sb 2.461 0.000 0.000
I 0.000 0.000 2.540
O 2.461 2.461 2.540
```